[1]
BeMoW2 after structural relaxation. Source: the Alexandria database, functional PBE.

abc: 4.970 4.970 4.970
angles: 135.73 135.73 64.40
Positions (direct):
1 Be 0.000 0.000 0.000
2 Mo 0.500 0.500 0.000
3 W 0.250 0.750 0.500
4 W 0.750 0.250 0.500

* SG: I4/mmm (139)
* magnetic moment: 0.00 Bohr magnetons per cell
* ΔH_f (0 K): 0.2990 eV per atom
* density: 13.3 g/cm³

=====

[2]
BeMoW after structural relaxation. Source: the Alexandria database, functional PBE.

abc: 4.652 4.652 4.652
angles: 139.52 139.52 58.59
Positions (direct):
1 Be 0.000 0.000 0.000
2 Mo 0.665 0.665 0.000
3 W 0.336 0.336 0.000

* SG: I4mm (107)
* energy above the lowest structure with this stoichiometry: 0.220 eV per atom
* magnetic moment: 0.00 Bohr magnetons per cell
* ΔH_f (0 K): 0.1125 eV per atom
* density: 11.4 g/cm³

=====

[3]
Be2MoW2 after structural relaxation. Source: the Alexandria database, functional PBE.

abc: 6.233 6.233 3.231
angles: 90.00 90.00 90.00
Positions (direct):
1 Be 0.118 0.382 0.000
2 Be 0.382 0.882 0.000
3 Be 0.618 0.118 0.000
4 Be 0.882 0.618 0.000
5 Mo 0.000 0.000 0.000
6 Mo 0.500 0.500 0.000
7 W 0.177 0.677 0.500
8 W 0.323 0.177 0.500
9 W 0.677 0.823 0.500
10 W 0.823 0.323 0.500

* SG: P4/mbm (127)
* energy above the lowest structure with this stoichiometry: 0.000 eV per atom
* magnetic moment: 0.00 Bohr magnetons per cell
* ΔH_f (0 K): -0.1775 eV per atom
* density: 12.7 g/cm³